A relaxed K4CaTh3Te8 crystal, computed with GGA-PBE.

Calculated values
Magnetization   0.01 μB/f.u.
ΔE_f (raw)   -1255 meV per atom
DOS(E_F)   9.34 states/eV per cell
SG   R-3m (166)

The structure in POSCAR format:
```
K4CaTh3Te8
1.0
4.551 2.627 8.334
-4.551 2.627 8.334
0.000 -5.255 8.334
K Ca Th Te
4 1 3 8
direct
0.000 0.000 0.000
0.000 0.500 0.500
0.500 0.000 0.500
0.500 0.500 0.000
0.500 0.500 0.500
0.000 0.000 0.500
0.000 0.500 0.000
0.500 0.000 0.000
0.235 0.740 0.740
0.239 0.239 0.239
0.260 0.260 0.765
0.260 0.765 0.260
0.740 0.235 0.740
0.740 0.740 0.235
0.761 0.761 0.761
0.765 0.260 0.260
```